a:
The following is a PBEsol calculation of CrFe2Cl after structural relaxation, from Alexandria.

## Properties
**Space-group type**: Immm (71)

Cell lengths 4.8433, 4.8433, 4.8433 Å; angles 147.44, 130.72, 60.32 degrees
With the nearest neighbours (Å) after each atom.
Positions (direct):
1 Cr 0.0000 0.0000 0.0000  4 Cl 2.43, 4 Fe 2.63, 2 Cr 2.72
2 Fe 0.2689 0.7689 0.5000  2 Cl 2.36, 4 Fe 2.45, 2 Cr 2.63
3 Fe 0.7311 0.2311 0.5000  2 Cl 2.36, 4 Fe 2.45, 2 Cr 2.63
4 Cl 0.5000 0.5000 0.0000  4 Fe 2.36, 4 Cr 2.43

=====

b:
The following is a PBEsol calculation of CrFe2Cl after structural relaxation, from Alexandria.

## Properties
**Space-group type**: Imm2 (44)

Cell lengths 4.8201, 4.8201, 4.8201 Å; angles 147.51, 130.14, 60.78 degrees
With the nearest neighbours (Å) after each atom.
Positions (direct):
1 Cr 0.0000 0.0000 0.0000  2 Cl 2.30, 4 Fe 2.47
2 Fe 0.2695 0.7695 0.5000  4 Cl 2.44, 2 Cr 2.62, 4 Fe 2.67-2.70
3 Fe 0.5465 0.5465 0.0000  2 Cl 2.34, 4 Cr 2.47
4 Cl 0.7762 0.2762 0.5000  2 Cr 2.30, 6 Fe 2.34-2.44

=====

a is preferred energetically. Next in line: 75 meV/atom higher.

=====

a:
The following is a PBEsol calculation of CrFe2Cl after structural relaxation, from Alexandria.

## Properties
**Space-group type**: Pm (6)

Cell lengths 2.9127, 2.8353, 6.5539 Å; angles 90.00, 90.13, 90.00 degrees
With the nearest neighbours (Å) after each atom.
Positions (direct):
1 Cr 0.0000 0.0000 0.0000  5 Fe 2.37-2.63, 2 Cl 2.37
2 Fe 0.0027 0.0000 0.4010  2 Cl 2.47, 4 Fe 2.47, 1 Cr 2.63
3 Fe 0.5010 0.5000 0.1864  4 Cr 2.37, 4 Fe 2.47
4 Cl 0.9924 0.5000 0.7093  2 Cr 2.37, 2 Fe 2.47

=====

b:
The following is a PBEsol calculation of CrFe2Cl after structural relaxation, from Alexandria.

## Properties
**Space-group type**: R-3m (166)

Cell lengths 7.5995, 7.5995, 7.5995 Å; angles 20.91, 20.91, 20.91 degrees
With the nearest neighbours (Å) after each atom.
Positions (direct):
1 Cr 0.0000 0.0000 0.0000  6 Fe 2.41
2 Fe 0.2524 0.2524 0.2524  3 Cr 2.41, 3 Cl 2.49
3 Fe 0.7476 0.7476 0.7476  3 Cr 2.41, 3 Cl 2.49
4 Cl 0.5000 0.5000 0.5000  6 Fe 2.49, 6 Cl 2.76

=====

c:
The following is a PBEsol calculation of CrFe2Cl after structural relaxation, from Alexandria.

## Properties
**Space-group type**: Cm (8)

Cell lengths 3.4650, 3.4650, 6.6195 Å; angles 90.09, 90.09, 46.47 degrees
With the nearest neighbours (Å) after each atom.
Positions (direct):
1 Cr 0.0000 0.0000 0.0000  1 Fe 2.01
2 Fe 0.4531 0.4531 0.3887  1 Cl 2.26, 3 Fe 2.32-2.35
3 Fe 0.7454 0.7454 0.1787  1 Cr 2.01
4 Cl 0.4529 0.4529 0.7305  1 Fe 2.26, 2 Cr 2.27

=====

a is preferred energetically. Next in line: 120 meV/atom higher.

=====

a:
The following is a PBEsol calculation of Cr2FeCl after structural relaxation, from Alexandria.

## Properties
**Space-group type**: C2/m (12)

Cell lengths 4.7263, 4.7263, 3.8334 Å; angles 91.51, 91.51, 33.80 degrees
With the nearest neighbours (Å) after each atom.
Positions (direct):
1 Cr 0.2169 0.2169 0.2891  2 Cr 2.19, 1 Cl 2.23
2 Cr 0.7831 0.7831 0.7109  2 Cr 2.19, 1 Cl 2.23
3 Fe 0.5000 0.5000 0.5000  4 Cl 2.36, 4 Cr 2.54
4 Cl 0.0000 0.0000 0.0000  2 Cr 2.23, 4 Fe 2.36

=====

b:
The following is a PBEsol calculation of Cr2FeCl after structural relaxation, from Alexandria.

## Properties
**Space-group type**: P4/mmm (123)

Cell lengths 2.6871, 2.6871, 6.1054 Å; angles 90.00, 90.00, 90.00 degrees
With the nearest neighbours (Å) after each atom.
Positions (direct):
1 Cr 0.0000 0.0000 0.2485  4 Cl 2.43, 4 Fe 2.44, 4 Cr 2.69
2 Cr 0.0000 0.0000 0.7515  4 Cl 2.43, 4 Fe 2.44, 4 Cr 2.69
3 Fe 0.5000 0.5000 0.5000  8 Cr 2.44, 4 Fe 2.69
4 Cl 0.5000 0.5000 0.0000  8 Cr 2.43, 4 Cl 2.69

=====

b is preferred energetically. Next in line: 225 meV/atom higher.

=====

a:
The following is a PBEsol calculation of CrHgCl2 after structural relaxation, from Alexandria.

## Properties
**Space-group type**: Cm (8)

Cell lengths 6.0298, 6.0298, 6.0065 Å; angles 117.44, 117.44, 32.03 degrees
With the nearest neighbours (Å) after each atom.
Positions (direct):
1 Cr 0.0000 0.0000 0.0000  4 Cl 2.32
2 Hg 0.2389 0.2389 0.4927  1 Cr 2.93
3 Cl 0.4117 0.4117 0.1430  2 Cr 2.32
4 Cl 0.5824 0.5824 0.8452  2 Cr 2.32

=====

b:
The following is a PBEsol calculation of CrHgCl2 after structural relaxation, from Alexandria.

## Properties
**Space-group type**: Fm-3m (225)

Cell lengths 4.8463, 4.8463, 4.8463 Å; angles 60.00, 60.00, 60.00 degrees
With the nearest neighbours (Å) after each atom.
Positions (direct):
1 Cr 0.0000 0.0000 0.0000  8 Cl 2.97
2 Hg 0.5000 0.5000 0.5000  8 Cl 2.97
3 Cl 0.2500 0.2500 0.2500  4 Cr 2.97, 4 Hg 2.97
4 Cl 0.7500 0.7500 0.7500  4 Hg 2.97, 4 Cr 2.97

=====

a is preferred energetically. Next in line: 591 meV/atom higher.